Record 1
Density functional theory data (PBE-GGA) for a geometry-optimized PrHfPtO6 structure.

Values from the calculation:
Spin magnetization = 0.856 μB/f.u.
Energy = -70.6 eV/f.u.
Theoretical density = 7.871 g/cm3

abc: 5.3616 5.3616 10.3462
angles: 90.00 90.00 120.00
Space group P-31c (No. 163)
Symmetry-distinct sites (fractional):
Pr (0.0000, 0.0000, 0.0000)
Hf (0.3333, 0.6667, 0.2500)
Pt (0.3333, 0.6667, 0.7500)
O (0.0108, 0.3659, 0.6415)


Record 2
Density functional theory data (PBE-GGA) for a geometry-optimized RbCuTe2 structure.

Values from the calculation:
Spin magnetization = 0.000 μB/f.u.
Energy = -12.9 eV/f.u.
Theoretical density = 4.533 g/cm3

abc: 7.0230 7.0797 12.7816
angles: 90.00 111.26 90.00
Space group P2/c (No. 13)
Symmetry-distinct sites (fractional):
Rb (0.1907, 0.2416, 0.1372)
Cu (0.2523, 0.3864, 0.8761)
Te (0.1213, 0.2644, 0.6706)
Te (0.3961, 0.3031, 0.4799)


Record 3
Density functional theory data (PBE-GGA) for a geometry-optimized Pm5Cu4Pt structure.

Values from the calculation:
Spin magnetization = 0.000 μB/f.u.
Energy = -49.6 eV/f.u.
Theoretical density = 8.547 g/cm3
E_form = -0.347 eV/atom

abc: 3.5623 3.5623 17.9769
angles: 90.00 90.00 90.00
Space group P4/mmm (No. 123)
Symmetry-distinct sites (fractional):
Pm (0.0000, 0.0000, 0.0000)
Pm (0.0000, 0.0000, 0.1999)
Pm (0.0000, 0.0000, 0.4013)
Cu (0.5000, 0.5000, 0.0998)
Cu (0.5000, 0.5000, 0.2973)
Pt (0.5000, 0.5000, 0.5000)


Record 4
Density functional theory data (PBE-GGA) for a geometry-optimized CeSmSnPd structure.

Values from the calculation:
Spin magnetization = 1.250 μB/f.u.
Energy = -22.2 eV/f.u.
Theoretical density = 8.174 g/cm3
E_form = -0.596 eV/atom

abc: 7.4828 7.4828 7.4828
angles: 90.00 90.00 90.00
Space group F-43m (No. 216)
Symmetry-distinct sites (fractional):
Ce (0.0000, 0.0000, 0.0000)
Sm (0.0000, 0.0000, 0.5000)
Sn (0.2500, 0.2500, 0.2500)
Pd (0.2500, 0.2500, 0.7500)


Record 5
Density functional theory data (PBE-GGA) for a geometry-optimized LaNdSn structure.

Values from the calculation:
Relative energy among the computed polymorphs = 82 meV per atom
Spin magnetization = 0.000 μB/f.u.
Energy = -15.3 eV/f.u.
Theoretical density = 7.298 g/cm3
E_form = -0.533 eV/atom

abc: 4.2580 4.2580 10.0870
angles: 90.00 90.00 90.00
Space group I4mm (No. 107)
Symmetry-distinct sites (fractional):
La (0.0000, 0.0000, 0.0000)
Nd (0.0000, 0.0000, 0.6940)
Sn (0.0000, 0.0000, 0.3439)


Record 6
Density functional theory data (PBE-GGA) for a geometry-optimized Cd5Hg3Pb structure.

Values from the calculation:
Relative energy among the computed polymorphs = 0 meV per atom
Spin magnetization = 0.000 μB/f.u.
Energy = -8.9 eV/f.u.
Theoretical density = 10.204 g/cm3
E_form = 0.032 eV/atom

abc: 5.9623 7.3050 10.6825
angles: 101.72 101.22 90.66
Space group P-1 (No. 2)
Symmetry-distinct sites (fractional):
Cd (0.0288, 0.0337, 0.1548)
Cd (0.2414, 0.7659, 0.3351)
Cd (0.2978, 0.2861, 0.8357)
Cd (0.3665, 0.3867, 0.1630)
Cd (0.4702, 0.9040, 0.6851)
Hg (0.1725, 0.6662, 0.0052)
Hg (0.1981, 0.1483, 0.5253)
Hg (0.5000, 0.0000, 0.0000)
Hg (0.5000, 0.5000, 0.5000)
Pb (0.0760, 0.5911, 0.6663)


Record 7
Density functional theory data (PBE-GGA) for a geometry-optimized SrPmSm structure.

Values from the calculation:
Relative energy among the computed polymorphs = 19 meV per atom
Spin magnetization = 0.000 μB/f.u.
Energy = -10.8 eV/f.u.
Theoretical density = 5.413 g/cm3
E_form = 0.114 eV/atom

abc: 3.7913 3.7913 9.4384
angles: 90.00 90.00 120.00
Space group P3m1 (No. 156)
Symmetry-distinct sites (fractional):
Sr (0.0000, 0.0000, 0.0000)
Pm (0.6667, 0.3333, 0.3535)
Sm (0.3333, 0.6667, 0.6483)